--- a ---
Material: TaIn3Ge
Method: DFT, PBE-GGA
State: relaxed

Lattice parameters (Å, degrees): 5.397 5.397 5.397 90.00 90.00 90.00
Atoms (fractional coordinates):
Ta 0.000 0.000 0.000
In 0.000 0.000 0.500
In 0.000 0.500 0.000
In 0.500 0.000 0.000
Ge 0.500 0.500 0.500

***

--- b ---
Material: TaIn3Ge
Method: DFT, PBE-GGA
State: relaxed

Lattice parameters (Å, degrees): 5.192 5.192 5.192 90.00 90.00 90.00
Atoms (fractional coordinates):
Ta 0.000 0.000 0.000
In 0.000 0.500 0.500
In 0.500 0.000 0.500
In 0.500 0.500 0.000
Ge 0.500 0.500 0.500

***

Which of them is most stable, and which least? Most stable: a; least stable: b.

***

--- a ---
Material: Ta3InGe
Method: DFT, PBE-GGA
State: relaxed

Lattice parameters (Å, degrees): 5.006 5.006 5.006 90.00 90.00 90.00
Atoms (fractional coordinates):
Ta 0.000 0.000 0.500
Ta 0.000 0.500 0.000
Ta 0.500 0.000 0.000
In 0.000 0.000 0.000
Ge 0.500 0.500 0.500

***

--- b ---
Material: Ta3InGe
Method: DFT, PBE-GGA
State: relaxed

Lattice parameters (Å, degrees): 4.767 4.767 4.767 90.00 90.00 90.00
Atoms (fractional coordinates):
Ta 0.000 0.000 0.500
Ta 0.000 0.500 0.000
Ta 0.500 0.000 0.000
In 0.500 0.500 0.500
Ge 0.000 0.000 0.000

***

Which of them is most stable, and which least? Most stable: b; least stable: a.

***

--- a ---
Material: Tb2InGe2
Method: DFT, PBE-GGA
State: relaxed

Lattice parameters (Å, degrees): 7.449 7.449 4.196 90.00 90.00 90.00
Atoms (fractional coordinates):
Tb 0.179 0.321 0.000
Tb 0.321 0.821 0.000
Tb 0.679 0.179 0.000
Tb 0.821 0.679 0.000
In 0.000 0.000 0.500
In 0.500 0.500 0.500
Ge 0.121 0.621 0.500
Ge 0.379 0.121 0.500
Ge 0.621 0.879 0.500
Ge 0.879 0.379 0.500

***

--- b ---
Material: Tb2InGe2
Method: DFT, PBE-GGA
State: relaxed

Lattice parameters (Å, degrees): 7.648 7.648 4.137 90.00 90.00 150.50
Atoms (fractional coordinates):
Tb 0.136 0.864 0.000
Tb 0.864 0.136 0.000
In 0.500 0.500 0.500
Ge 0.305 0.695 0.500
Ge 0.695 0.305 0.500

***

Which of them is most stable, and which least? Most stable: a; least stable: b.

***

--- a ---
Material: In3TcGe
Method: DFT, PBE-GGA
State: relaxed

Lattice parameters (Å, degrees): 5.192 5.192 5.192 90.00 90.00 90.00
Atoms (fractional coordinates):
In 0.000 0.000 0.500
In 0.000 0.500 0.000
In 0.500 0.000 0.000
Tc 0.000 0.000 0.000
Ge 0.500 0.500 0.500

***

--- b ---
Material: In3TcGe
Method: DFT, PBE-GGA
State: relaxed

Lattice parameters (Å, degrees): 5.258 5.258 5.258 90.00 90.00 90.00
Atoms (fractional coordinates):
In 0.000 0.000 0.500
In 0.000 0.500 0.000
In 0.500 0.000 0.000
Tc 0.500 0.500 0.500
Ge 0.000 0.000 0.000

***

Which of them is most stable, and which least? Most stable: a; least stable: b.

***

--- a ---
Material: InTcGe
Method: DFT, PBE-GGA
State: relaxed

Lattice parameters (Å, degrees): 4.254 4.254 3.515 90.00 90.00 120.00
Atoms (fractional coordinates):
In 0.000 0.000 0.000
Tc 0.667 0.333 0.500
Ge 0.333 0.667 0.500

***

--- b ---
Material: InTcGe
Method: DFT, PBE-GGA
State: relaxed

Lattice parameters (Å, degrees): 5.984 5.984 6.813 111.35 111.35 30.16
Atoms (fractional coordinates):
In 0.083 0.083 0.275
In 0.917 0.917 0.725
Tc 0.363 0.363 0.023
Tc 0.637 0.637 0.977
Ge 0.168 0.168 0.705
Ge 0.832 0.832 0.295

***

Which of them is most stable, and which least? Most stable: b; least stable: a.

***

--- a ---
Material: In3GeTe
Method: DFT, PBE-GGA
State: relaxed

Lattice parameters (Å, degrees): 5.430 5.430 5.430 90.00 90.00 90.00
Atoms (fractional coordinates):
In 0.000 0.000 0.500
In 0.000 0.500 0.000
In 0.500 0.000 0.000
Ge 0.000 0.000 0.000
Te 0.500 0.500 0.500

***

--- b ---
Material: In3GeTe
Method: DFT, PBE-GGA
State: relaxed

Lattice parameters (Å, degrees): 5.845 5.845 5.845 90.00 90.00 90.00
Atoms (fractional coordinates):
In 0.000 0.000 0.500
In 0.000 0.500 0.000
In 0.500 0.000 0.000
Ge 0.500 0.500 0.500
Te 0.000 0.000 0.000

***

Which of them is most stable, and which least? Most stable: a; least stable: b.

***

--- a ---
Material: InGe2Te
Method: DFT, PBE-GGA
State: relaxed

Lattice parameters (Å, degrees): 5.122 5.122 5.122 60.00 60.00 60.00
Atoms (fractional coordinates):
In 0.000 0.000 0.000
Ge 0.250 0.250 0.250
Ge 0.750 0.750 0.750
Te 0.500 0.500 0.500

***

--- b ---
Material: InGe2Te
Method: DFT, PBE-GGA
State: relaxed

Lattice parameters (Å, degrees): 7.999 7.999 7.999 133.85 133.85 67.32
Atoms (fractional coordinates):
In 0.000 0.000 0.000
In 0.750 0.250 0.500
Ge 0.111 0.625 0.986
Ge 0.375 0.361 0.486
Ge 0.639 0.125 0.014
Ge 0.875 0.889 0.514
Te 0.250 0.750 0.500
Te 0.500 0.500 0.000

***

Which of them is most stable, and which least? Most stable: b; least stable: a.

***

--- a ---
Material: In2GeTe2
Method: DFT, PBE-GGA
State: relaxed

Lattice parameters (Å, degrees): 8.254 8.254 4.421 90.00 90.00 90.00
Atoms (fractional coordinates):
In 0.136 0.364 0.000
In 0.364 0.864 0.000
In 0.636 0.136 0.000
In 0.864 0.636 0.000
Ge 0.000 0.000 0.500
Ge 0.500 0.500 0.500
Te 0.177 0.677 0.500
Te 0.323 0.177 0.500
Te 0.677 0.823 0.500
Te 0.823 0.323 0.500

***

--- b ---
Material: In2GeTe2
Method: DFT, PBE-GGA
State: relaxed

Lattice parameters (Å, degrees): 8.916 8.916 8.916 152.91 152.91 38.69
Atoms (fractional coordinates):
In 0.250 0.750 0.500
In 0.750 0.250 0.500
Ge 0.000 0.000 0.000
Te 0.408 0.408 0.000
Te 0.592 0.592 0.000

***

--- c ---
Material: In2GeTe2
Method: DFT, PBE-GGA
State: relaxed

Lattice parameters (Å, degrees): 8.113 8.113 4.232 90.00 90.00 90.00
Atoms (fractional coordinates):
In 0.147 0.353 0.000
In 0.353 0.853 0.000
In 0.647 0.147 0.000
In 0.853 0.647 0.000
Ge 0.000 0.000 0.000
Ge 0.500 0.500 0.000
Te 0.162 0.662 0.500
Te 0.338 0.162 0.500
Te 0.662 0.838 0.500
Te 0.838 0.338 0.500

***

Which of them is most stable, and which least? Most stable: a; least stable: b.

***

--- a ---
Material: In2GeTe
Method: DFT, PBE-GGA
State: relaxed

Lattice parameters (Å, degrees): 5.298 5.298 5.298 60.00 60.00 60.00
Atoms (fractional coordinates):
In 0.250 0.250 0.250
In 0.750 0.750 0.750
Ge 0.000 0.000 0.000
Te 0.500 0.500 0.500

***

--- b ---
Material: In2GeTe
Method: DFT, PBE-GGA
State: relaxed

Lattice parameters (Å, degrees): 10.001 10.001 10.001 22.91 22.91 22.91
Atoms (fractional coordinates):
In 0.097 0.097 0.097
In 0.903 0.903 0.903
Ge 0.000 0.000 0.000
Te 0.500 0.500 0.500

***

--- c ---
Material: In2GeTe
Method: DFT, PBE-GGA
State: relaxed

Lattice parameters (Å, degrees): 7.942 7.942 7.942 131.94 131.94 70.33
Atoms (fractional coordinates):
In 0.082 0.625 0.957
In 0.375 0.332 0.457
In 0.668 0.125 0.043
In 0.875 0.918 0.543
Ge 0.000 0.000 0.000
Ge 0.750 0.250 0.500
Te 0.250 0.750 0.500
Te 0.500 0.500 0.000

***

Which of them is most stable, and which least? Most stable: c; least stable: b.

***

--- a ---
Material: TiInGe2
Method: DFT, PBE-GGA
State: relaxed

Lattice parameters (Å, degrees): 4.812 4.812 4.812 60.00 60.00 60.00
Atoms (fractional coordinates):
Ti 0.000 0.000 0.000
In 0.500 0.500 0.500
Ge 0.250 0.250 0.250
Ge 0.750 0.750 0.750

***

--- b ---
Material: TiInGe2
Method: DFT, PBE-GGA
State: relaxed

Lattice parameters (Å, degrees): 6.078 6.078 6.078 102.85 102.85 123.73
Atoms (fractional coordinates):
Ti 0.000 0.000 0.000
Ti 0.750 0.250 0.500
In 0.250 0.750 0.500
In 0.500 0.500 0.000
Ge 0.101 0.125 0.476
Ge 0.375 0.899 0.024
Ge 0.649 0.625 0.524
Ge 0.875 0.351 0.976

***

Which of them is most stable, and which least? Most stable: b; least stable: a.

***

--- a ---
Material: Tl2InGe2
Method: DFT, PBE-GGA
State: relaxed

Lattice parameters (Å, degrees): 10.034 10.034 10.034 158.46 158.46 30.65
Atoms (fractional coordinates):
Tl 0.112 0.112 0.000
Tl 0.888 0.888 0.000
In 0.500 0.500 0.000
Ge 0.250 0.750 0.500
Ge 0.750 0.250 0.500

***

--- b ---
Material: Tl2InGe2
Method: DFT, PBE-GGA
State: relaxed

Lattice parameters (Å, degrees): 6.961 6.961 6.961 139.38 139.38 58.80
Atoms (fractional coordinates):
Tl 0.250 0.750 0.500
Tl 0.750 0.250 0.500
In 0.000 0.000 0.000
Ge 0.398 0.398 0.000
Ge 0.602 0.602 0.000

***

--- c ---
Material: Tl2InGe2
Method: DFT, PBE-GGA
State: relaxed

Lattice parameters (Å, degrees): 7.215 7.215 5.131 90.00 90.00 90.00
Atoms (fractional coordinates):
Tl 0.177 0.323 0.000
Tl 0.323 0.823 0.000
Tl 0.677 0.177 0.000
Tl 0.823 0.677 0.000
In 0.000 0.000 0.500
In 0.500 0.500 0.500
Ge 0.124 0.624 0.500
Ge 0.376 0.124 0.500
Ge 0.624 0.876 0.500
Ge 0.876 0.376 0.500

***

--- d ---
Material: Tl2InGe2
Method: DFT, PBE-GGA
State: relaxed

Lattice parameters (Å, degrees): 8.812 8.812 3.392 90.00 90.00 90.00
Atoms (fractional coordinates):
Tl 0.147 0.353 0.000
Tl 0.353 0.853 0.000
Tl 0.647 0.147 0.000
Tl 0.853 0.647 0.000
In 0.000 0.000 0.000
In 0.500 0.500 0.000
Ge 0.150 0.650 0.500
Ge 0.350 0.150 0.500
Ge 0.650 0.850 0.500
Ge 0.850 0.350 0.500

***

Which of them is most stable, and which least? Most stable: c; least stable: d.